1.
DFT (SCAN) results for a crystal of Li2Zn relaxed with PBEsol.

Values from the calculation:
ΔH_f (0 K), eV/f.u.: -0.44
Size of the total moment, μB/f.u.: 0.0
Space-group type: Immm, No. 71

```
data_Li2Zn
_chemical_formula_sum 'Li2 Zn1'
_cell_length_a 2.707
_cell_length_b 3.976
_cell_length_c 4.846
_cell_angle_alpha 114.22
_cell_angle_beta 106.22
_cell_angle_gamma 90.00
_symmetry_space_group_name_H-M 'P 1'
_symmetry_Int_Tables_number 1
loop_
_symmetry_equiv_pos_as_xyz
'x,y,z'
loop_
_atom_site_label
_atom_site_fract_x
_atom_site_fract_y
_atom_site_fract_z
Zn1 0.000 0.000 0.000
Li1 0.660 0.660 0.319
Li2 0.340 0.340 0.681
```

***

2.
DFT (SCAN) results for a crystal of Li17Zn12 relaxed with PBEsol.

Values from the calculation:
ΔH_f (0 K), eV/f.u.: -5.56
Size of the total moment, μB/f.u.: 0.0
Space-group type: I-43m, No. 217

```
data_Li17Zn12
_chemical_formula_sum 'Li17 Zn12'
_cell_length_a 8.342
_cell_length_b 8.342
_cell_length_c 8.342
_cell_angle_alpha 109.47
_cell_angle_beta 109.47
_cell_angle_gamma 109.47
_symmetry_space_group_name_H-M 'P 1'
_symmetry_Int_Tables_number 1
loop_
_symmetry_equiv_pos_as_xyz
'x,y,z'
loop_
_atom_site_label
_atom_site_fract_x
_atom_site_fract_y
_atom_site_fract_z
Li1 0.000 0.686 0.412
Li2 0.000 0.412 0.686
Li3 0.725 0.314 0.314
Li4 0.275 0.588 0.588
Li5 0.314 0.314 0.725
Li6 0.588 0.588 0.275
Li7 0.686 0.412 0.000
Li8 0.412 0.686 0.000
Li9 0.686 0.000 0.412
Li10 0.412 0.000 0.686
Li11 0.588 0.275 0.588
Li12 0.314 0.725 0.314
Li13 0.000 0.000 0.643
Li14 0.000 0.643 0.000
Li15 0.643 0.000 0.000
Li16 0.357 0.357 0.357
Li17 0.000 0.000 0.000
Zn1 0.000 0.186 0.369
Zn2 0.000 0.369 0.186
Zn3 0.183 0.814 0.814
Zn4 0.817 0.631 0.631
Zn5 0.814 0.814 0.183
Zn6 0.631 0.631 0.817
Zn7 0.186 0.369 0.000
Zn8 0.369 0.186 0.000
Zn9 0.186 0.000 0.369
Zn10 0.369 0.000 0.186
Zn11 0.631 0.817 0.631
Zn12 0.814 0.183 0.814
```

***

3.
DFT (SCAN) results for a crystal of LiZn2 relaxed with PBEsol.

Values from the calculation:
ΔH_f (0 K), eV/f.u.: -0.53
Size of the total moment, μB/f.u.: 0.0
Space-group type: I4_1/amd, No. 141

```
data_LiZn2
_chemical_formula_sum 'Li4 Zn8'
_cell_length_a 3.854
_cell_length_b 3.854
_cell_length_c 11.552
_cell_angle_alpha 99.60
_cell_angle_beta 99.60
_cell_angle_gamma 90.00
_symmetry_space_group_name_H-M 'P 1'
_symmetry_Int_Tables_number 1
loop_
_symmetry_equiv_pos_as_xyz
'x,y,z'
loop_
_atom_site_label
_atom_site_fract_x
_atom_site_fract_y
_atom_site_fract_z
Li1 0.168 0.668 0.336
Li2 0.332 0.832 0.664
Li3 0.918 0.918 0.836
Li4 0.082 0.082 0.164
Zn1 0.002 0.502 0.005
Zn2 0.498 0.998 0.995
Zn3 0.752 0.752 0.505
Zn4 0.248 0.248 0.495
Zn5 0.833 0.333 0.666
Zn6 0.667 0.167 0.334
Zn7 0.583 0.583 0.166
Zn8 0.417 0.417 0.834
```

***

4.
DFT (SCAN) results for a crystal of Li2Zn relaxed with PBEsol.

Values from the calculation:
ΔH_f (0 K), eV/f.u.: -0.46
Size of the total moment, μB/f.u.: 0.0
Space-group type: P6/mmm, No. 191

```
data_Li2Zn
_chemical_formula_sum 'Li2 Zn1'
_cell_length_a 2.584
_cell_length_b 4.442
_cell_length_c 4.442
_cell_angle_alpha 120.00
_cell_angle_beta 90.00
_cell_angle_gamma 90.00
_symmetry_space_group_name_H-M 'P 1'
_symmetry_Int_Tables_number 1
loop_
_symmetry_equiv_pos_as_xyz
'x,y,z'
loop_
_atom_site_label
_atom_site_fract_x
_atom_site_fract_y
_atom_site_fract_z
Zn1 0.500 0.000 0.000
Li1 0.000 0.333 0.667
Li2 0.000 0.667 0.333
```

***

5.
DFT (SCAN) results for a crystal of Li4Zn3 relaxed with PBEsol.

Values from the calculation:
ΔH_f (0 K), eV/f.u.: -0.92
Size of the total moment, μB/f.u.: 0.0
Space-group type: I4/mmm, No. 139
Energy above the most stable polymorph in this dataset, meV/atom: 76

```
data_Li4Zn3
_chemical_formula_sum 'Li4 Zn3'
_cell_length_a 2.908
_cell_length_b 2.908
_cell_length_c 12.798
_cell_angle_alpha 96.52
_cell_angle_beta 96.52
_cell_angle_gamma 90.00
_symmetry_space_group_name_H-M 'P 1'
_symmetry_Int_Tables_number 1
loop_
_symmetry_equiv_pos_as_xyz
'x,y,z'
loop_
_atom_site_label
_atom_site_fract_x
_atom_site_fract_y
_atom_site_fract_z
Zn1 0.000 0.000 0.000
Zn2 0.718 0.718 0.435
Zn3 0.282 0.282 0.565
Li1 0.848 0.848 0.697
Li2 0.152 0.152 0.303
Li3 0.569 0.569 0.137
Li4 0.431 0.431 0.863
```

***

6.
DFT (SCAN) results for a crystal of Li5Zn3 relaxed with PBEsol.

Values from the calculation:
ΔH_f (0 K), eV/f.u.: -1.00
Size of the total moment, μB/f.u.: 0.0
Space-group type: I4/mcm, No. 140
Energy above the most stable polymorph in this dataset, meV/atom: 24

```
data_Li5Zn3
_chemical_formula_sum 'Li10 Zn6'
_cell_length_a 4.836
_cell_length_b 7.558
_cell_length_c 7.558
_cell_angle_alpha 84.13
_cell_angle_beta 71.34
_cell_angle_gamma 71.34
_symmetry_space_group_name_H-M 'P 1'
_symmetry_Int_Tables_number 1
loop_
_symmetry_equiv_pos_as_xyz
'x,y,z'
loop_
_atom_site_label
_atom_site_fract_x
_atom_site_fract_y
_atom_site_fract_z
Li1 0.750 0.500 0.500
Li2 0.250 0.500 0.500
Li3 0.425 0.848 0.302
Li4 0.575 0.152 0.698
Li5 0.925 0.302 0.848
Li6 0.075 0.698 0.152
Li7 0.227 0.848 0.698
Li8 0.773 0.152 0.302
Li9 0.273 0.302 0.152
Li10 0.727 0.698 0.848
Zn1 0.750 0.000 0.000
Zn2 0.250 0.000 0.000
Zn3 0.325 0.500 0.850
Zn4 0.675 0.500 0.150
Zn5 0.825 0.850 0.500
Zn6 0.175 0.150 0.500
```

***

7.
DFT (SCAN) results for a crystal of LiZn13 relaxed with PBEsol.

Values from the calculation:
ΔH_f (0 K), eV/f.u.: -1.09
Size of the total moment, μB/f.u.: 0.0
Space-group type: Fm-3c, No. 226

```
data_LiZn13
_chemical_formula_sum 'Li2 Zn26'
_cell_length_a 8.483
_cell_length_b 8.483
_cell_length_c 8.483
_cell_angle_alpha 60.00
_cell_angle_beta 60.00
_cell_angle_gamma 60.00
_symmetry_space_group_name_H-M 'P 1'
_symmetry_Int_Tables_number 1
loop_
_symmetry_equiv_pos_as_xyz
'x,y,z'
loop_
_atom_site_label
_atom_site_fract_x
_atom_site_fract_y
_atom_site_fract_z
Li1 0.250 0.250 0.250
Li2 0.750 0.750 0.750
Zn1 0.500 0.500 0.500
Zn2 0.000 0.000 0.000
Zn3 0.700 0.939 0.300
Zn4 0.300 0.061 0.700
Zn5 0.939 0.700 0.061
Zn6 0.061 0.300 0.939
Zn7 0.300 0.939 0.061
Zn8 0.700 0.061 0.939
Zn9 0.061 0.700 0.300
Zn10 0.939 0.300 0.700
Zn11 0.061 0.939 0.700
Zn12 0.939 0.061 0.300
Zn13 0.300 0.700 0.939
Zn14 0.700 0.300 0.061
Zn15 0.800 0.439 0.200
Zn16 0.200 0.561 0.800
Zn17 0.561 0.200 0.439
Zn18 0.439 0.800 0.561
Zn19 0.200 0.800 0.439
Zn20 0.800 0.200 0.561
Zn21 0.439 0.561 0.200
Zn22 0.561 0.439 0.800
Zn23 0.439 0.200 0.800
Zn24 0.561 0.800 0.200
Zn25 0.200 0.439 0.561
Zn26 0.800 0.561 0.439
```

***

8.
DFT (SCAN) results for a crystal of Li3Zn2 relaxed with PBEsol.

Values from the calculation:
ΔH_f (0 K), eV/f.u.: -0.43
Size of the total moment, μB/f.u.: 0.0
Space-group type: R-3m, No. 166

```
data_Li3Zn2
_chemical_formula_sum 'Li3 Zn2'
_cell_length_a 2.756
_cell_length_b 2.756
_cell_length_c 11.615
_cell_angle_alpha 83.19
_cell_angle_beta 83.19
_cell_angle_gamma 60.00
_symmetry_space_group_name_H-M 'P 1'
_symmetry_Int_Tables_number 1
loop_
_symmetry_equiv_pos_as_xyz
'x,y,z'
loop_
_atom_site_label
_atom_site_fract_x
_atom_site_fract_y
_atom_site_fract_z
Zn1 0.601 0.601 0.196
Zn2 0.399 0.399 0.804
Li1 0.000 0.000 0.000
Li2 0.204 0.204 0.389
Li3 0.796 0.796 0.611
```

***

9.
DFT (SCAN) results for a crystal of LiZn2 relaxed with PBEsol.

Values from the calculation:
ΔH_f (0 K), eV/f.u.: -0.68
Size of the total moment, μB/f.u.: 0.0
Space-group type: Fd-3m, No. 227

```
data_LiZn2
_chemical_formula_sum 'Li2 Zn4'
_cell_length_a 5.048
_cell_length_b 5.048
_cell_length_c 5.048
_cell_angle_alpha 60.00
_cell_angle_beta 60.00
_cell_angle_gamma 60.00
_symmetry_space_group_name_H-M 'P 1'
_symmetry_Int_Tables_number 1
loop_
_symmetry_equiv_pos_as_xyz
'x,y,z'
loop_
_atom_site_label
_atom_site_fract_x
_atom_site_fract_y
_atom_site_fract_z
Zn1 0.125 0.125 0.125
Zn2 0.125 0.125 0.625
Zn3 0.125 0.625 0.125
Zn4 0.625 0.125 0.125
Li1 0.500 0.500 0.500
Li2 0.750 0.750 0.750
```

***

10.
DFT (SCAN) results for a crystal of Li5Zn3 relaxed with PBEsol.

Values from the calculation:
ΔH_f (0 K), eV/f.u.: -1.19
Size of the total moment, μB/f.u.: 0.0
Space-group type: Cmmm, No. 65
Energy above the most stable polymorph in this dataset, meV/atom: 0

```
data_Li5Zn3
_chemical_formula_sum 'Li5 Zn3'
_cell_length_a 3.776
_cell_length_b 5.631
_cell_length_c 5.631
_cell_angle_alpha 87.96
_cell_angle_beta 90.00
_cell_angle_gamma 90.00
_symmetry_space_group_name_H-M 'P 1'
_symmetry_Int_Tables_number 1
loop_
_symmetry_equiv_pos_as_xyz
'x,y,z'
loop_
_atom_site_label
_atom_site_fract_x
_atom_site_fract_y
_atom_site_fract_z
Zn1 0.000 0.500 0.500
Zn2 0.500 0.735 0.265
Zn3 0.500 0.265 0.735
Li1 0.000 0.000 0.000
Li2 0.000 0.000 0.500
Li3 0.000 0.500 0.000
Li4 0.500 0.251 0.251
Li5 0.500 0.749 0.749
```